1.
Computed, not measured: a relaxed structure of Cs2Tl2Cl2O at the GGA-PBE level of DFT.

Results
- Total energy: -3.40 eV per atom
- Formation energy from raw total energies: -1.24 eV/atom
- DOS at the Fermi energy: 0.00 states/eV per cell

Cell lengths 6.9639, 6.9639, 9.2741 Å; angles 118.18, 118.18, 39.46 degrees
Fractional coordinates of all 7 atoms:
Cs1 0.0488 0.0488 0.3098
Cs2 0.9512 0.9512 0.6902
Tl1 0.3094 0.3094 0.9243
Tl2 0.6906 0.6906 0.0757
Cl1 0.3251 0.3251 0.3550
Cl2 0.6749 0.6749 0.6450
O1 0.5000 0.5000 0.0000

2.
Computed, not measured: a relaxed structure of Cs2UCl5O at the GGA-PBE level of DFT.

Results
- Total energy: -5.12 eV per atom
- Formation energy from raw total energies: -2.10 eV/atom

Cell lengths 7.5943, 7.5943, 7.5943 Å; angles 118.81, 118.81, 92.07 degrees
Fractional coordinates of all 9 atoms:
Cs1 0.0000 0.5000 0.5000
Cs2 0.5000 0.0000 0.5000
U1 0.2414 0.2414 0.0000
Cl1 0.0079 0.0079 0.5161
Cl2 0.0079 0.4918 0.0000
Cl3 0.4878 0.4878 0.0000
Cl4 0.4918 0.0079 0.0000
Cl5 0.4918 0.4918 0.4839
O1 0.0669 0.0669 0.0000

3.
Computed, not measured: a relaxed structure of Cs2UCl4O2 at the GGA-PBE level of DFT.

Results
- Total energy: -5.65 eV per atom
- Formation energy from raw total energies: -2.28 eV/atom
- DOS at the Fermi energy: 0.00 states/eV per cell

Cell lengths 7.2718, 7.2718, 5.9718 Å; angles 99.11, 99.11, 65.30 degrees
Fractional coordinates of all 9 atoms:
Cs1 0.1685 0.1685 0.3228
Cs2 0.8315 0.8315 0.6772
U1 0.5000 0.5000 0.0000
Cl1 0.1544 0.6500 0.2002
Cl2 0.3500 0.8456 0.7998
Cl3 0.6500 0.1544 0.2002
Cl4 0.8456 0.3500 0.7998
O1 0.3820 0.3820 0.7655
O2 0.6180 0.6180 0.2345